VASP calculation (PBE) on a relaxed structure of La4Tb2Pr2Mg.

a b c (Å): 7.0211 8.9458 5.9796
angles (deg): 110.46 117.39 79.08
Element x y z (fractional)
La 0.5171 0.8792 0.1809
La 0.6949 0.6672 0.6348
La 0.4829 0.1208 0.8191
La 0.3051 0.3328 0.3652
Tb 0.7733 0.4629 0.0645
Tb 0.2267 0.5371 0.9355
Pr 0.1119 0.7891 0.4709
Pr 0.8881 0.2109 0.5291
Mg 0.0000 0.0000 0.0000

Results
Spin magnetization (μB/cell): 0.0
Theoretical density (g/cm3): 6.3
Energy of formation from the pure elements (eV/atom): 0.044